Ba2PCl | PBE | relaxed

Values from the calculation:
As for the space group: No. 44. The value obtained for the energy above the most stable polymorph in this dataset is 0.198 eV per atom.

POSCAR file:
```
Ba2PCl
1.0
4.173 0.000 0.000
0.000 4.337 0.000
0.000 0.000 15.932
Ba P Cl
4 2 2
direct
0.000 0.000 0.000
0.000 0.500 0.222
0.500 0.000 0.722
0.500 0.500 0.500
0.000 0.000 0.579
0.500 0.500 0.079
0.000 0.500 0.820
0.500 0.000 0.320
```


Pm4Sm5Th2 | PBE | relaxed

Values from the calculation:
As for the space group: No. 10. The value obtained for the energy above the most stable polymorph in this dataset is 0.000 eV per atom.

POSCAR file:
```
Pm4Sm5Th2
1.0
8.991 0.000 0.000
0.000 3.512 0.000
-0.877 0.000 11.937
Pm Sm Th
4 5 2
direct
0.156 0.000 0.394
0.305 0.000 0.954
0.695 0.000 0.046
0.844 0.000 0.606
0.197 0.500 0.667
0.422 0.500 0.214
0.500 0.500 0.500
0.578 0.500 0.786
0.803 0.500 0.333
0.042 0.500 0.131
0.958 0.500 0.869
```


Rb3PuNb2O8 | PBE | relaxed

Values from the calculation:
As for the space group: No. 164.

POSCAR file:
```
Rb3PuNb2O8
1.0
6.340 0.000 0.000
-3.170 5.490 0.000
0.000 0.000 8.107
Rb Pu Nb O
3 1 2 8
direct
0.000 0.000 0.000
0.333 0.667 0.690
0.667 0.333 0.310
0.000 0.000 0.500
0.333 0.667 0.245
0.667 0.333 0.755
0.171 0.341 0.327
0.171 0.829 0.327
0.333 0.667 0.020
0.341 0.171 0.673
0.659 0.829 0.327
0.667 0.333 0.980
0.829 0.171 0.673
0.829 0.659 0.673
```


AgCl8 | PBE | relaxed

Values from the calculation:
As for the space group: No. 139.

POSCAR file:
```
AgCl8
1.0
-3.966 3.966 4.082
3.966 -3.966 4.082
3.966 3.966 -4.082
Ag Cl
1 8
direct
0.000 0.000 0.000
0.000 0.307 0.307
0.000 0.693 0.693
0.307 0.000 0.307
0.334 0.334 0.668
0.334 0.666 0.000
0.666 0.334 0.000
0.666 0.666 0.332
0.693 0.000 0.693
```


Hf2Ti2Tl | PBE | relaxed

Values from the calculation:
As for the space group: No. 71. The value obtained for the energy above the most stable polymorph in this dataset is 0.161 eV per atom.

POSCAR file:
```
Hf2Ti2Tl
1.0
4.424 0.000 0.000
0.000 6.360 0.000
0.000 0.000 7.537
Hf Ti Tl
4 4 2
direct
0.000 0.000 0.195
0.000 0.000 0.805
0.500 0.500 0.305
0.500 0.500 0.695
0.000 0.294 0.500
0.000 0.706 0.500
0.500 0.206 0.000
0.500 0.794 0.000
0.000 0.500 0.000
0.500 0.000 0.500
```


AlCd2C | PBE | relaxed

Values from the calculation:
As for the space group: No. 122. The value obtained for the energy above the most stable polymorph in this dataset is 0.000 eV per atom.

POSCAR file:
```
AlCd2C
1.0
6.037 0.000 0.000
0.000 6.037 0.000
0.000 0.000 10.260
Al Cd C
4 8 4
direct
0.000 0.000 0.000
0.000 0.500 0.250
0.500 0.000 0.750
0.500 0.500 0.500
0.144 0.250 0.625
0.250 0.644 0.875
0.250 0.856 0.375
0.356 0.250 0.125
0.644 0.750 0.125
0.750 0.144 0.375
0.750 0.356 0.875
0.856 0.750 0.625
0.000 0.000 0.500
0.000 0.500 0.750
0.500 0.000 0.250
0.500 0.500 0.000
```


Sm4InC | PBE | relaxed

Values from the calculation:
As for the space group: No. 12.

POSCAR file:
```
Sm4InC
1.0
8.123 -3.439 0.000
8.123 3.439 0.000
-1.803 0.000 5.795
Sm In C
8 2 2
direct
0.150 0.632 0.401
0.248 0.752 0.000
0.306 0.306 0.796
0.368 0.850 0.599
0.632 0.150 0.401
0.694 0.694 0.204
0.752 0.248 0.000
0.850 0.368 0.599
0.193 0.193 0.210
0.807 0.807 0.790
0.445 0.445 0.699
0.555 0.555 0.301
```


Ca2TeOsN | PBE | relaxed

Values from the calculation:
As for the space group: No. 123.

POSCAR file:
```
Ca2TeOsN
1.0
5.693 0.000 0.000
0.000 5.693 0.000
0.000 0.000 3.773
Ca Te Os N
2 1 1 1
direct
0.000 0.500 0.000
0.500 0.000 0.000
0.000 0.000 0.500
0.500 0.500 0.000
0.500 0.500 0.500
```


BaEuHgP | PBE | relaxed

Values from the calculation:
As for the space group: No. 216.

POSCAR file:
```
BaEuHgP
1.0
7.821 0.000 0.000
0.000 7.821 0.000
0.000 0.000 7.821
Ba Eu Hg P
4 4 4 4
direct
0.000 0.000 0.000
0.000 0.500 0.500
0.500 0.000 0.500
0.500 0.500 0.000
0.000 0.000 0.500
0.000 0.500 0.000
0.500 0.000 0.000
0.500 0.500 0.500
0.250 0.250 0.250
0.250 0.750 0.750
0.750 0.250 0.750
0.750 0.750 0.250
0.250 0.250 0.750
0.250 0.750 0.250
0.750 0.250 0.250
0.750 0.750 0.750
```


SbAsC | PBE | relaxed

Values from the calculation:
As for the space group: No. 8. The value obtained for the energy above the most stable polymorph in this dataset is 0.045 eV per atom.

POSCAR file:
```
SbAsC
1.0
14.498 0.000 0.000
0.000 3.524 0.000
-2.873 0.000 5.963
Sb As C
4 4 4
direct
0.000 0.000 0.000
0.236 0.500 0.455
0.500 0.500 0.000
0.736 0.000 0.455
0.086 0.500 0.606
0.468 0.500 0.377
0.586 0.000 0.606
0.968 0.000 0.377
0.313 0.000 0.661
0.402 0.000 0.848
0.813 0.500 0.661
0.902 0.500 0.848
```


PmThTlIn | PBE | relaxed

Values from the calculation:
As for the space group: No. 99. The value obtained for the energy above the most stable polymorph in this dataset is 0.000 eV per atom.

POSCAR file:
```
PmThTlIn
1.0
3.575 0.000 0.000
0.000 3.575 0.000
0.000 0.000 9.008
Pm Th Tl In
1 1 1 1
direct
0.000 0.000 0.000
0.000 0.000 0.496
0.500 0.500 0.752
0.500 0.500 0.245
```


Rb2TmGaO4 | PBE | relaxed

Values from the calculation:
As for the space group: No. 70.

POSCAR file:
```
Rb2TmGaO4
1.0
0.000 6.336 11.107
2.742 0.000 11.107
2.742 6.336 0.000
Rb Tm Ga O
4 2 2 8
direct
0.058 0.058 0.692
0.308 0.308 0.942
0.692 0.692 0.058
0.942 0.942 0.308
0.125 0.125 0.125
0.875 0.875 0.875
0.375 0.375 0.375
0.625 0.625 0.625
0.021 0.645 0.553
0.282 0.553 0.645
0.355 0.979 0.718
0.447 0.718 0.979
0.553 0.282 0.021
0.645 0.021 0.282
0.718 0.447 0.355
0.979 0.355 0.447
```


Which calculated volume belongs to each record? In order, 288; 377; 282; 257; 212; 374; 324; 122; 478; 305; 115; 386 Å³/cell.
Which raw total energy belongs to each record? In order, -33.9; -55.9; -111.2; -16.2; -73.6; -40.5; -63.2; -28.9; -81.7; -65.2; -18.6; -90.0 eV for the cell shown.